Compound: BaCrAg2
Source: Alexandria via LeMat-Bulk
Functional: GGA-PBE
Structure: relaxed

Output
- E (eV/atom) = -3.9594
- crystal system = cubic
- density of states at the Fermi level (states/eV per cell) = 2.10
- ΔH_f (0 K) (eV/atom) = 0.35
- polymorph energy (0 for the lowest one) (kJ/mol of formula units) = 72

Unit cell a=5.336 b=5.336 c=5.336 alpha=60.00 beta=60.00 gamma=60.00
Element x y z (fractional)
Ba 0.000 0.000 0.000
Cr 0.500 0.500 0.500
Ag 0.250 0.250 0.250
Ag 0.750 0.750 0.750



Compound: RbTm5Te8
Source: Alexandria via LeMat-Bulk
Functional: GGA-PBE
Structure: relaxed

Output
- formation energy (no corrections) (eV per atom) = -1.369
- E (eV/atom) = -4.8307
- crystal system = monoclinic

Unit cell a=11.415 b=11.415 c=10.712 alpha=104.14 beta=104.14 gamma=21.99
Element x y z (fractional)
Rb 0.000 0.000 0.000
Tm 0.156 0.156 0.467
Tm 0.205 0.205 0.844
Tm 0.500 0.500 0.499
Tm 0.795 0.795 0.155
Tm 0.845 0.845 0.531
Te 0.076 0.076 0.661
Te 0.266 0.266 0.345
Te 0.336 0.336 0.002
Te 0.418 0.418 0.690
Te 0.582 0.582 0.308
Te 0.665 0.665 0.996
Te 0.735 0.735 0.653
Te 0.924 0.924 0.337



Compound: LiVCd
Source: Alexandria via LeMat-Bulk
Functional: GGA-PBE
Structure: relaxed

Output
- E (eV/atom) = -3.1277
- crystal system = cubic
- density of states at the Fermi level (states/eV per cell) = 5.66
- ΔH_f (0 K) (eV/atom) = 0.85
- polymorph energy (0 for the lowest one) (kJ/mol of formula units) = 209

Unit cell a=4.618 b=4.618 c=4.618 alpha=60.00 beta=60.00 gamma=60.00
Element x y z (fractional)
Li 0.000 0.000 0.000
V 0.750 0.750 0.750
Cd 0.500 0.500 0.500



Compound: Rb3U3BeSe8
Source: Alexandria via LeMat-Bulk
Functional: GGA-PBE
Structure: relaxed

Output
- formation energy (no corrections) (eV per atom) = -1.066
- E (eV/atom) = -5.6241
- crystal system = monoclinic
- density of states at the Fermi level (states/eV per cell) = 11.22

Unit cell a=8.146 b=8.146 c=9.149 alpha=113.21 beta=113.21 gamma=64.39
Element x y z (fractional)
Rb 0.000 0.000 0.000
Rb 0.000 0.500 0.000
Rb 0.500 0.000 0.000
U 0.000 0.500 0.500
U 0.500 0.000 0.500
U 0.500 0.500 0.500
Be 0.000 0.000 0.500
Se 0.179 0.179 0.653
Se 0.249 0.702 0.704
Se 0.266 0.266 0.301
Se 0.298 0.751 0.296
Se 0.702 0.249 0.704
Se 0.734 0.734 0.699
Se 0.751 0.298 0.296
Se 0.821 0.821 0.347



Compound: Pr3IO7
Source: Alexandria via LeMat-Bulk
Functional: GGA-PBE
Structure: relaxed

Output
- formation energy (no corrections) (eV per atom) = -2.432
- E (eV/atom) = -7.0314
- crystal system = orthorhombic
- density of states at the Fermi level (states/eV per cell) = 0.00

Unit cell a=6.790 b=6.790 c=7.991 alpha=90.00 beta=90.00 gamma=108.16
Element x y z (fractional)
Pr 0.013 0.987 0.500
Pr 0.027 0.501 0.748
Pr 0.499 0.973 0.748
Pr 0.501 0.027 0.248
Pr 0.973 0.499 0.248
Pr 0.987 0.013 0.000
I 0.488 0.512 0.998
I 0.512 0.488 0.498
O 0.136 0.864 0.224
O 0.136 0.864 0.775
O 0.137 0.393 0.014
O 0.218 0.445 0.463
O 0.393 0.137 0.514
O 0.420 0.580 0.778
O 0.445 0.218 0.963
O 0.555 0.782 0.463
O 0.580 0.420 0.278
O 0.607 0.863 0.014
O 0.782 0.555 0.963
O 0.863 0.607 0.514
O 0.864 0.136 0.275
O 0.864 0.136 0.724



Compound: MgTl2SnHg6
Source: Alexandria via LeMat-Bulk
Functional: GGA-PBE
Structure: relaxed

Output
- E (eV/atom) = -1.2220
- crystal system = triclinic
- density of states at the Fermi level (states/eV per cell) = 3.68
- ΔH_f (0 K) (eV/atom) = -0.01

Unit cell a=6.493 b=6.521 c=6.612 alpha=89.50 beta=79.19 gamma=84.88
Element x y z (fractional)
Mg 0.000 0.000 0.000
Tl 0.090 0.250 0.409
Tl 0.910 0.750 0.591
Sn 0.500 0.500 0.500
Hg 0.211 0.381 0.909
Hg 0.300 0.751 0.180
Hg 0.388 0.918 0.714
Hg 0.612 0.082 0.286
Hg 0.700 0.249 0.820
Hg 0.789 0.619 0.091



Compound: TmTc6B4
Source: Alexandria via LeMat-Bulk
Functional: GGA-PBE
Structure: relaxed

Output
- E (eV/atom) = -8.6784
- crystal system = tetragonal
- density of states at the Fermi level (states/eV per cell) = 5.75
- ΔH_f (0 K) (eV/atom) = -0.19

Unit cell a=5.769 b=5.769 c=5.769 alpha=121.32 beta=121.32 gamma=87.73
Element x y z (fractional)
Tm 0.000 0.000 0.000
Tc 0.000 0.500 0.500
Tc 0.084 0.084 0.613
Tc 0.470 0.470 0.387
Tc 0.500 0.000 0.500
Tc 0.530 0.916 0.000
Tc 0.916 0.530 0.000
B 0.298 0.578 0.000
B 0.422 0.422 0.720
B 0.578 0.298 0.000
B 0.702 0.702 0.280



Compound: HoThOs
Source: Alexandria via LeMat-Bulk
Functional: GGA-PBE
Structure: relaxed

Output
- E (eV/atom) = -8.0167
- crystal system = orthorhombic
- density of states at the Fermi level (states/eV per cell) = 17.80
- ΔH_f (0 K) (eV/atom) = -0.27
- polymorph energy (0 for the lowest one) (kJ/mol of formula units) = 0

Unit cell a=14.381 b=3.903 c=8.202 alpha=90.00 beta=90.00 gamma=90.00
Element x y z (fractional)
Ho 0.122 0.000 0.063
Ho 0.250 0.000 0.707
Ho 0.378 0.000 0.063
Ho 0.622 0.000 0.937
Ho 0.750 0.000 0.293
Ho 0.878 0.000 0.937
Th 0.042 0.500 0.694
Th 0.250 0.500 0.357
Th 0.458 0.500 0.694
Th 0.542 0.500 0.306
Th 0.750 0.500 0.643
Th 0.958 0.500 0.306
Os 0.099 0.000 0.434
Os 0.250 0.500 0.966
Os 0.401 0.000 0.434
Os 0.599 0.000 0.566
Os 0.750 0.500 0.034
Os 0.901 0.000 0.566